[1]
{"formula": "CrFe2Br", "functional": "PBE-GGA", "state": "relaxed", "energy_ev_per_atom": -6.17, "m_tot_mub_per_atom": 2.2705, "spacegroup": "No. 139", "raw_formation_energy_ev_per_atom": 0.886, "e_above_lowest_polymorph_kj_per_mol_atoms": 40.0, "lattice_angstrom": [[-2.1593, 0.5402, 4.8130], [-5.2198, -0.4376, 0.8257], [3.9643, -2.5644, -2.4140]], "species": ["Br", "Fe", "Cr", "Fe"], "frac_coords": [[0.2500, 0.7500, 0.5000], [0.0000, 0.0000, 0.0000], [0.7500, 0.2500, 0.5000], [0.5000, 0.5000, 0.0000]]}

[2]
{"formula": "CrFe2Br", "functional": "PBE-GGA", "state": "relaxed", "energy_ev_per_atom": -6.44, "m_tot_mub_per_atom": 0.7546, "spacegroup": "No. 123", "raw_formation_energy_ev_per_atom": 0.619, "e_above_lowest_polymorph_kj_per_mol_atoms": 14.3, "lattice_angstrom": [[-0.9297, 2.6774, 0.8209], [-2.4286, -1.2015, 1.1682], [3.0929, -0.6823, 5.7282]], "species": ["Cr", "Fe", "Br", "Fe"], "frac_coords": [[0.5000, 0.5000, 0.7500], [0.0000, 0.0000, 0.5280], [0.5000, 0.5000, 0.2500], [0.0000, 0.0000, 0.9720]]}

[3]
{"formula": "Cr4FeBr", "functional": "PBE-GGA", "state": "relaxed", "energy_ev_per_atom": -7.24, "m_tot_mub_per_atom": 0.4869, "spacegroup": "No. 216", "raw_formation_energy_ev_per_atom": 0.860, "lattice_angstrom": [[0.0000, 3.4250, 3.4250], [3.4250, 0.0000, 3.4250], [3.4250, 3.4250, 0.0000]], "species": ["Br", "Cr", "Cr", "Cr", "Cr", "Fe"], "frac_coords": [[0.0000, 0.0000, 0.0000], [0.3767, 0.3767, 0.3767], [0.3767, 0.8700, 0.3767], [0.3767, 0.3767, 0.8700], [0.8700, 0.3767, 0.3767], [0.7500, 0.7500, 0.7500]]}

[4]
{"formula": "CrFe3Br", "functional": "PBE-GGA", "state": "relaxed", "energy_ev_per_atom": -6.01, "m_tot_mub_per_atom": 2.1441, "spacegroup": "No. 221", "raw_formation_energy_ev_per_atom": 1.323, "e_above_lowest_polymorph_kj_per_mol_atoms": 1.9, "lattice_angstrom": [[4.3709, 0.0000, 0.0000], [0.0000, 4.3709, 0.0000], [0.0000, 0.0000, 4.3709]], "species": ["Fe", "Cr", "Fe", "Br", "Fe"], "frac_coords": [[0.0000, 0.5000, 0.0000], [0.5000, 0.5000, 0.5000], [0.5000, 0.0000, 0.0000], [0.0000, 0.0000, 0.0000], [0.0000, 0.0000, 0.5000]]}

[5]
{"formula": "CrFe2Br", "functional": "PBE-GGA", "state": "relaxed", "energy_ev_per_atom": -5.99, "m_tot_mub_per_atom": 0.0001, "spacegroup": "No. 122", "raw_formation_energy_ev_per_atom": 1.063, "e_above_lowest_polymorph_kj_per_mol_atoms": 57.2, "lattice_angstrom": [[-1.2677, 0.1810, -5.0922], [0.0547, -5.2466, -0.2001], [-5.4296, -2.6287, -1.4488]], "species": ["Fe", "Fe", "Br", "Cr", "Cr", "Fe", "Fe", "Br"], "frac_coords": [[0.5938, 0.1250, 0.2500], [0.8750, 0.8438, 0.7500], [0.0000, 0.0000, 0.0000], [0.2500, 0.7500, 0.5000], [0.5000, 0.5000, 0.0000], [0.1562, 0.6250, 0.2500], [0.3750, 0.4062, 0.7500], [0.7500, 0.2500, 0.5000]]}

[6]
{"formula": "Cr2FeBr", "functional": "PBE-GGA", "state": "relaxed", "energy_ev_per_atom": -6.61, "m_tot_mub_per_atom": 0.0257, "spacegroup": "No. 166", "raw_formation_energy_ev_per_atom": 0.740, "e_above_lowest_polymorph_kj_per_mol_atoms": 29.8, "lattice_angstrom": [[7.9759, -0.0391, -0.0231], [7.4733, 2.7866, -0.0231], [7.4733, 1.3291, 2.4494]], "species": ["Cr", "Fe", "Br", "Cr"], "frac_coords": [[0.5043, 0.5043, 0.5043], [0.2500, 0.2500, 0.2500], [0.7500, 0.7500, 0.7500], [0.9957, 0.9957, 0.9957]]}